i:
The following is a DFT calculation (PBE) of TcPdW2 after structural relaxation.

a b c (Å): 4.4588 4.4588 4.4588
angles (deg): 60.00 60.00 60.00
Closest atoms and distances in Å follow each position.
Sites, in units of the cell vectors:
Tc 0.0000 0.0000 0.0000  8 W 2.73
Pd 0.5000 0.5000 0.5000  8 W 2.73
W 0.2500 0.2500 0.2500  4 Tc 2.73, 4 Pd 2.73
W 0.7500 0.7500 0.7500  4 Tc 2.73, 4 Pd 2.73

## Properties
total moment	0.000	μB/atom
symmetry	Fm-3m

=====

ii:
The following is a DFT calculation (PBE) of TcPdW2 after structural relaxation.

a b c (Å): 3.9519 3.9519 3.9312
angles (deg): 90.00 90.00 90.00
Closest atoms and distances in Å follow each position.
Sites, in units of the cell vectors:
Tc 0.0000 0.0000 0.0000  8 W 2.79, 4 Pd 2.79
Pd 0.5000 0.5000 0.0000  8 W 2.79, 4 Tc 2.79
W 0.0000 0.5000 0.5000  4 Tc 2.79, 4 Pd 2.79, 4 W 2.79
W 0.5000 0.0000 0.5000  4 Tc 2.79, 4 Pd 2.79, 4 W 2.79

## Properties
total moment	0.000	μB/atom
symmetry	P4/mmm

=====

Which is the most stable structure? ii is the most stable.

=====

i:
The following is a DFT calculation (PBE) of TcPdW after structural relaxation.

a b c (Å): 5.0677 5.0677 5.0677
angles (deg): 142.84 142.84 53.56
Closest atoms and distances in Å follow each position.
Sites, in units of the cell vectors:
Tc 0.0000 0.0000 0.0000  4 W 2.60, 5 Pd 2.83-2.84
Pd 0.6873 0.6873 0.0000  5 W 2.78-2.94, 5 Tc 2.83-2.84
W 0.3620 0.3620 0.0000  4 Tc 2.60, 4 Pd 2.78

## Properties
total moment	0.000	μB/atom
symmetry	I4mm

=====

ii:
The following is a DFT calculation (PBE) of TcPdW after structural relaxation.

a b c (Å): 4.5031 4.5031 2.6340
angles (deg): 90.00 90.00 120.00
Closest atoms and distances in Å follow each position.
Sites, in units of the cell vectors:
Tc 0.0000 0.0000 0.0000  3 Pd 2.60, 2 Tc 2.63, 3 W 2.85
Pd 0.6667 0.3333 0.9422  3 Tc 2.60, 2 Pd 2.63, 6 W 2.91
W 0.3333 0.6667 0.4420  2 W 2.63, 3 Tc 2.85, 6 Pd 2.91

## Properties
total moment	0.000	μB/atom
symmetry	P3m1

=====

Which is the most stable structure? i is the most stable.

=====

i:
The following is a DFT calculation (PBE) of ZnTcPd3 after structural relaxation.

a b c (Å): 4.5855 4.5855 4.5855
angles (deg): 90.00 90.00 90.00
Closest atoms and distances in Å follow each position.
Sites, in units of the cell vectors:
Zn 0.0000 0.0000 0.0000  6 Pd 2.29
Tc 0.5000 0.5000 0.5000  12 Pd 3.24
Pd 0.0000 0.0000 0.5000  2 Zn 2.29
Pd 0.0000 0.5000 0.0000  2 Zn 2.29
Pd 0.5000 0.0000 0.0000  2 Zn 2.29

## Properties
total moment	0.971	μB/atom
symmetry	Pm-3m

=====

ii:
The following is a DFT calculation (PBE) of ZnTcPd3 after structural relaxation.

a b c (Å): 4.7860 4.7860 4.7860
angles (deg): 90.00 90.00 90.00
Closest atoms and distances in Å follow each position.
Sites, in units of the cell vectors:
Zn 0.0000 0.0000 0.0000  12 Pd 3.38
Tc 0.5000 0.5000 0.5000  6 Pd 2.39
Pd 0.0000 0.5000 0.5000  2 Tc 2.39
Pd 0.5000 0.0000 0.5000  2 Tc 2.39
Pd 0.5000 0.5000 0.0000  2 Tc 2.39

## Properties
total moment	0.000	μB/atom
symmetry	Pm-3m

=====

Which is the most stable structure? i is the most stable.

=====

i:
The following is a DFT calculation (PBE) of Zn2Tc2Pd after structural relaxation.

a b c (Å): 7.2354 7.2354 2.9853
angles (deg): 90.00 90.00 90.00
Closest atoms and distances in Å follow each position.
Sites, in units of the cell vectors:
Zn 0.1859 0.3141 0.0000  6 Tc 2.57-2.66
Zn 0.3141 0.8141 0.0000  6 Tc 2.57-2.66
Zn 0.6859 0.1859 0.0000  6 Tc 2.57-2.66
Zn 0.8141 0.6859 0.0000  6 Tc 2.57-2.66
Tc 0.1094 0.6094 0.5000  1 Tc 2.24
Tc 0.3906 0.1094 0.5000  1 Tc 2.24
Tc 0.6094 0.8906 0.5000  1 Tc 2.24
Tc 0.8906 0.3906 0.5000  1 Tc 2.24
Pd 0.0000 0.0000 0.5000  4 Tc 2.94, 2 Pd 2.99, 8 Zn 3.03
Pd 0.5000 0.5000 0.5000  4 Tc 2.94, 2 Pd 2.99, 8 Zn 3.03

## Properties
total moment	0.000	μB/atom
symmetry	P4/mbm

=====

ii:
The following is a DFT calculation (PBE) of Zn2Tc2Pd after structural relaxation.

a b c (Å): 6.8746 6.8746 6.8746
angles (deg): 150.37 150.37 42.39
Closest atoms and distances in Å follow each position.
Sites, in units of the cell vectors:
Zn 0.2500 0.7500 0.5000  4 Zn 2.49, 4 Tc 2.68
Zn 0.7500 0.2500 0.5000  4 Zn 2.49, 4 Tc 2.68
Tc 0.0922 0.0922 0.0000  1 Tc 2.36
Tc 0.9078 0.9078 0.0000  1 Tc 2.36
Pd 0.5000 0.5000 0.0000  8 Tc 2.75

## Properties
total moment	0.000	μB/atom
symmetry	I4/mmm

=====

Which is the most stable structure? i is the most stable.

=====

i:
The following is a DFT calculation (PBE) of ZrTc3Pd after structural relaxation.

a b c (Å): 4.6769 4.6769 4.6769
angles (deg): 90.00 90.00 90.00
Closest atoms and distances in Å follow each position.
Sites, in units of the cell vectors:
Zr 0.0000 0.0000 0.0000  12 Tc 3.31
Tc 0.0000 0.5000 0.5000  2 Pd 2.34
Tc 0.5000 0.0000 0.5000  2 Pd 2.34
Tc 0.5000 0.5000 0.0000  2 Pd 2.34
Pd 0.5000 0.5000 0.5000  6 Tc 2.34

## Properties
total moment	0.307	μB/atom
symmetry	Pm-3m

=====

ii:
The following is a DFT calculation (PBE) of ZrTc3Pd after structural relaxation.

a b c (Å): 4.6999 4.6999 4.6999
angles (deg): 90.00 90.00 90.00
Closest atoms and distances in Å follow each position.
Sites, in units of the cell vectors:
Zr 0.0000 0.0000 0.0000  6 Tc 2.35
Tc 0.0000 0.0000 0.5000  2 Zr 2.35
Tc 0.0000 0.5000 0.0000  2 Zr 2.35
Tc 0.5000 0.0000 0.0000  2 Zr 2.35
Pd 0.5000 0.5000 0.5000  12 Tc 3.32

## Properties
total moment	0.000	μB/atom
symmetry	Pm-3m

=====

Which is the most stable structure? i is the most stable.

=====

i:
The following is a DFT calculation (PBE) of Zr3TcPd after structural relaxation.

a b c (Å): 4.9766 4.9766 4.9766
angles (deg): 90.00 90.00 90.00
Closest atoms and distances in Å follow each position.
Sites, in units of the cell vectors:
Zr 0.0000 0.0000 0.5000  2 Pd 2.49
Zr 0.0000 0.5000 0.0000  2 Pd 2.49
Zr 0.5000 0.0000 0.0000  2 Pd 2.49
Tc 0.5000 0.5000 0.5000  12 Zr 3.52
Pd 0.0000 0.0000 0.0000  6 Zr 2.49

## Properties
total moment	0.110	μB/atom
symmetry	Pm-3m

=====

ii:
The following is a DFT calculation (PBE) of Zr3TcPd after structural relaxation.

a b c (Å): 4.9766 4.9766 4.9766
angles (deg): 90.00 90.00 90.00
Closest atoms and distances in Å follow each position.
Sites, in units of the cell vectors:
Zr 0.0000 0.0000 0.5000  2 Tc 2.49
Zr 0.0000 0.5000 0.0000  2 Tc 2.49
Zr 0.5000 0.0000 0.0000  2 Tc 2.49
Tc 0.0000 0.0000 0.0000  6 Zr 2.49
Pd 0.5000 0.5000 0.5000  12 Zr 3.52

## Properties
total moment	0.000	μB/atom
symmetry	Pm-3m

=====

Which is the most stable structure? ii is the most stable.